Below is a relaxed RbNbCdTe3 crystal, with properties calculated at the PBE-GGA level.

```
data_RbNbCdTe3
_chemical_formula_sum 'Rb2 Nb2 Cd2 Te6'
_cell_length_a 8.577
_cell_length_b 8.577
_cell_length_c 11.237
_cell_angle_alpha 90.00
_cell_angle_beta 90.00
_cell_angle_gamma 151.26
_space_group_name_H-M_alt 'P 1'
_space_group_IT_number 1
loop_
_space_group_symop_operation_xyz
'x,y,z'
loop_
_atom_site_label
_atom_site_fract_x
_atom_site_fract_y
_atom_site_fract_z
Cd1 0.543 0.457 0.250
Cd2 0.457 0.543 0.750
Nb1 0.000 0.000 0.000
Nb2 0.000 0.000 0.500
Rb1 0.243 0.757 0.250
Rb2 0.757 0.243 0.750
Te1 0.621 0.379 0.031
Te2 0.930 0.070 0.250
Te3 0.621 0.379 0.469
Te4 0.379 0.621 0.531
Te5 0.070 0.930 0.750
Te6 0.379 0.621 0.969
```

# NdLuCu (PBE-GGA, relaxed)
data_NdLuCu
_chemical_formula_sum 'Nd1 Lu1 Cu1'
_cell_length_a 4.856
_cell_length_b 4.856
_cell_length_c 4.856
_cell_angle_alpha 60.00
_cell_angle_beta 60.00
_cell_angle_gamma 60.00
_space_group_name_H-M_alt 'P 1'
_space_group_IT_number 1
loop_
_space_group_symop_operation_xyz
'x,y,z'
loop_
_atom_site_label
_atom_site_fract_x
_atom_site_fract_y
_atom_site_fract_z
Cu1 0.000 0.000 0.000
Lu1 0.250 0.250 0.250
Nd1 0.750 0.750 0.750
# **Calculated formation energy**: 0.060 eV per atom

Number 1: energy above the lowest structure with this stoichiometry 17 meV/atom. Number 2: energy above the lowest structure with this stoichiometry 0 meV/atom.